(1)
First-principles (PBE-GGA) data for a geometry-optimized DyThSeS structure, as listed in Alexandria.

Energy relative to the elements, uncorrected: -167.00 kJ per mole of atoms
Space-group type: R3m
V: 24.02 Å³/atom
Raw total energy: -6.64 eV/atom

Unit cell a=7.5775 b=7.5775 c=7.5775 alpha=29.95 beta=29.95 gamma=29.95
With the nearest neighbours (Å) after each atom.
Positions (direct):
Dy 0.0000 0.0000 0.0000  3 S 2.73, 3 Se 2.92
Th 0.8187 0.8187 0.8187  3 S 2.87, 3 Se 3.08
Se 0.5815 0.5815 0.5815  3 Dy 2.92, 3 Th 3.08
S 0.4039 0.4039 0.4039  3 Dy 2.73, 3 Th 2.87

(2)
First-principles (PBE-GGA) data for a geometry-optimized Li2HoZrO4 structure, as listed in Alexandria.

Energy relative to the elements, uncorrected: -260.72 kJ per mole of atoms
Space-group type: I-4m2
V: 11.51 Å³/atom
Raw total energy: -7.30 eV/atom

Unit cell a=5.6373 b=5.6373 c=5.6373 alpha=133.69 beta=133.69 gamma=67.57
With the nearest neighbours (Å) after each atom.
Positions (direct):
Li 0.0000 0.0000 0.0000  6 O 2.22-2.35
Li 0.7500 0.2500 0.5000  6 O 2.22-2.45
Ho 0.5000 0.5000 0.0000  6 O 2.22-2.34
Zr 0.2500 0.7500 0.5000  6 O 2.22-2.24
O 0.0115 0.5115 0.5000  3 Li 2.22-2.45, 2 Ho 2.22, 1 Zr 2.24
O 0.2503 0.2503 0.0000  3 Li 2.22-2.35, 2 Zr 2.22, 1 Ho 2.34
O 0.4885 0.9885 0.5000  2 Ho 2.22, 3 Li 2.22-2.45, 1 Zr 2.24
O 0.7497 0.7497 0.0000  3 Li 2.22-2.35, 2 Zr 2.22, 1 Ho 2.34

(3)
First-principles (PBE-GGA) data for a geometry-optimized Rb2ZnTeI6 structure, as listed in Alexandria.

Energy relative to the elements, uncorrected: -65.93 kJ per mole of atoms
Space-group type: I4/mmm
V: 43.73 Å³/atom
Raw total energy: -2.25 eV/atom

Unit cell a=8.5343 b=8.5343 c=8.5343 alpha=120.33 beta=120.33 gamma=89.42
With the nearest neighbours (Å) after each atom.
Positions (direct):
Rb 0.2500 0.7500 0.5000  12 I 4.25-4.27
Rb 0.7500 0.2500 0.5000  12 I 4.25-4.27
Zn 0.0000 0.0000 0.0000  6 I 2.83-3.09
Te 0.5000 0.5000 0.0000  6 I 2.97-3.17
I 0.2360 0.2360 0.4720  1 Zn 2.83, 1 Te 3.17
I 0.2360 0.7640 0.0000  1 Zn 2.83, 1 Te 3.17
I 0.2548 0.2548 0.0000  1 Te 2.97, 1 Zn 3.09
I 0.7452 0.7452 0.0000  1 Te 2.97, 1 Zn 3.09
I 0.7640 0.2360 0.0000  1 Zn 2.83, 1 Te 3.17
I 0.7640 0.7640 0.5280  1 Zn 2.83, 1 Te 3.17

(4)
First-principles (PBE-GGA) data for a geometry-optimized HfZrAg2 structure, as listed in Alexandria.

Space-group type: I-42d
Offset from the most stable computed form: 0.495 eV/atom
V: 21.26 Å³/atom
Energy of formation: 0.384 eV per atom
Raw total energy: -5.67 eV/atom

Unit cell a=6.1799 b=6.1799 c=6.1799 alpha=101.87 beta=101.87 gamma=126.05
With the nearest neighbours (Å) after each atom.
Positions (direct):
Hf 0.0000 0.0000 0.0000  4 Ag 2.80, 2 Zr 2.80
Hf 0.7500 0.2500 0.5000  4 Ag 2.80, 2 Zr 2.80
Zr 0.2500 0.7500 0.5000  2 Hf 2.80, 4 Ag 2.88
Zr 0.5000 0.5000 0.0000  2 Hf 2.80, 4 Ag 2.88
Ag 0.1173 0.6250 0.9923  2 Hf 2.80, 2 Ag 2.81, 2 Zr 2.88
Ag 0.3750 0.3673 0.4923  2 Hf 2.80, 2 Ag 2.81, 2 Zr 2.88
Ag 0.6327 0.1250 0.0077  2 Hf 2.80, 2 Ag 2.81, 2 Zr 2.88
Ag 0.8750 0.8827 0.5077  2 Hf 2.80, 2 Ag 2.81, 2 Zr 2.88

(5)
First-principles (PBE-GGA) data for a geometry-optimized Ge2Se structure, as listed in Alexandria.

Energy relative to the elements, uncorrected: 1.08 kJ per mole of atoms
Space-group type: P2/m
Offset from the most stable computed form: 0.065 eV/atom
V: 21.87 Å³/atom
Raw total energy: -4.23 eV/atom

Unit cell a=3.9946 b=3.8073 c=8.6407 alpha=90.00 beta=92.87 gamma=90.00
With the nearest neighbours (Å) after each atom.
Positions (direct):
Ge 0.0000 0.0000 0.0000  6 Ge 2.76-2.88
Ge 0.0313 0.0000 0.6681  2 Se 2.57
Ge 0.5000 0.5000 0.0000  2 Se 2.69, 4 Ge 2.76
Ge 0.9687 0.0000 0.3319  2 Se 2.57
Se 0.4625 0.5000 0.6883  3 Ge 2.57-2.69
Se 0.5375 0.5000 0.3117  3 Ge 2.57-2.69

(6)
First-principles (PBE-GGA) data for a geometry-optimized Be5CrRh6 structure, as listed in Alexandria.

Space-group type: Immm
V: 11.26 Å³/atom
Energy of formation: -0.538 eV per atom
Raw total energy: -6.57 eV/atom

Unit cell a=6.8998 b=6.8998 c=6.8998 alpha=146.37 beta=131.44 gamma=60.37
With the nearest neighbours (Å) after each atom.
Positions (direct):
Be 0.0000 0.0000 0.0000  8 Rh 2.41-2.45
Be 0.1702 0.6702 0.5000  8 Rh 2.40-2.44
Be 0.3404 0.3404 0.0000  8 Rh 2.41-2.47
Be 0.6596 0.6596 0.0000  8 Rh 2.41-2.47
Be 0.8298 0.3298 0.5000  8 Rh 2.40-2.44
Cr 0.5000 0.0000 0.5000  8 Rh 2.48-2.49, 4 Be 2.76
Rh 0.0754 0.8310 0.2444  7 Be 2.40-2.47, 1 Cr 2.48
Rh 0.2385 0.5000 0.7385  6 Be 2.41-2.44, 2 Cr 2.49
Rh 0.4134 0.1690 0.2444  7 Be 2.40-2.47, 1 Cr 2.48
Rh 0.5866 0.8310 0.7556  7 Be 2.40-2.47, 1 Cr 2.48
Rh 0.7615 0.5000 0.2615  6 Be 2.41-2.44, 2 Cr 2.49
Rh 0.9246 0.1690 0.7556  7 Be 2.40-2.47, 1 Cr 2.48

(7)
First-principles (PBE-GGA) data for a geometry-optimized Ba2Sn4Pd3Pt structure, as listed in Alexandria.

Space-group type: P-4m2
V: 25.02 Å³/atom
Energy of formation: -0.730 eV per atom
Raw total energy: -4.88 eV/atom

Unit cell a=4.7651 b=4.7651 c=11.0173 alpha=90.00 beta=90.00 gamma=90.00
With the nearest neighbours (Å) after each atom.
Positions (direct):
Ba 0.0000 0.5000 0.2466  2 Pt 3.61, 6 Pd 3.61-3.63, 9 Sn 3.65-4.02
Ba 0.5000 0.0000 0.7534  2 Pt 3.61, 6 Pd 3.61-3.63, 9 Sn 3.65-4.02
Sn 0.0000 0.0000 0.5000  4 Pd 2.78
Sn 0.0000 0.5000 0.8819  2 Pt 2.71, 3 Pd 2.71-2.78
Sn 0.5000 0.0000 0.1181  2 Pt 2.71, 3 Pd 2.71-2.78
Sn 0.5000 0.5000 0.5000  4 Pd 2.78
Pd 0.0000 0.0000 0.0000  4 Sn 2.71
Pd 0.0000 0.5000 0.6299  5 Sn 2.78
Pd 0.5000 0.0000 0.3701  5 Sn 2.78
Pt 0.5000 0.5000 0.0000  4 Sn 2.71

(8)
First-principles (PBE-GGA) data for a geometry-optimized LiAc2Ni4Ge3 structure, as listed in Alexandria.

Space-group type: P-4m2
V: 18.20 Å³/atom
Energy of formation: -0.537 eV per atom
Raw total energy: -5.25 eV/atom

Unit cell a=4.2528 b=4.2528 c=10.0630 alpha=90.00 beta=90.00 gamma=90.00
With the nearest neighbours (Å) after each atom.
Positions (direct):
Li 0.0000 0.0000 0.0000  4 Ni 2.51
Ac 0.0000 0.5000 0.7498  8 Ni 3.23-3.29, 6 Ge 3.28-3.30, 2 Li 3.30
Ac 0.5000 0.0000 0.2502  8 Ni 3.23-3.29, 6 Ge 3.28-3.30, 2 Li 3.30
Ni 0.0000 0.0000 0.5000  4 Ge 2.44
Ni 0.0000 0.5000 0.1326  3 Ge 2.49-2.51, 2 Li 2.51
Ni 0.5000 0.0000 0.8674  3 Ge 2.49-2.51, 2 Li 2.51
Ni 0.5000 0.5000 0.5000  4 Ge 2.44
Ge 0.0000 0.5000 0.3802  5 Ni 2.44-2.49
Ge 0.5000 0.0000 0.6198  5 Ni 2.44-2.49
Ge 0.5000 0.5000 0.0000  4 Ni 2.51

(9)
First-principles (PBE-GGA) data for a geometry-optimized BaZrGe2 structure, as listed in Alexandria.

Space-group type: Fm-3m
Offset from the most stable computed form: 0.360 eV/atom
V: 25.02 Å³/atom
Energy of formation: -0.036 eV per atom
Raw total energy: -4.96 eV/atom

Unit cell a=5.2115 b=5.2115 c=5.2115 alpha=60.00 beta=60.00 gamma=60.00
With the nearest neighbours (Å) after each atom.
Positions (direct):
Ba 0.0000 0.0000 0.0000  8 Ge 3.19
Zr 0.5000 0.5000 0.5000  8 Ge 3.19
Ge 0.2500 0.2500 0.2500  4 Zr 3.19, 4 Ba 3.19
Ge 0.7500 0.7500 0.7500  4 Zr 3.19, 4 Ba 3.19

(10)
First-principles (PBE-GGA) data for a geometry-optimized Cs3Tl2Cd2 structure, as listed in Alexandria.

Space-group type: Pbcm
V: 46.89 Å³/atom
Energy of formation: -0.050 eV per atom
Raw total energy: -1.35 eV/atom

Unit cell a=7.7139 b=10.3908 c=16.3813 alpha=90.00 beta=90.00 gamma=90.00
With the nearest neighbours (Å) after each atom.
Positions (direct):
Cs 0.1217 0.1185 0.1023  4 Cd 3.89-4.29, 3 Tl 4.04-4.35, 1 Cs 4.33
Cs 0.1217 0.1185 0.3977  4 Cd 3.89-4.29, 3 Tl 4.04-4.35, 1 Cs 4.33
Cs 0.1217 0.3815 0.6023  4 Cd 3.89-4.29, 3 Tl 4.04-4.35, 1 Cs 4.33
Cs 0.1217 0.3815 0.8977  4 Cd 3.89-4.29, 3 Tl 4.04-4.35, 1 Cs 4.33
Cs 0.3248 0.7199 0.7500  4 Tl 3.81-4.14, 4 Cd 3.98-4.18
Cs 0.3248 0.7801 0.2500  4 Tl 3.81-4.14, 4 Cd 3.98-4.18
Cs 0.6752 0.2199 0.7500  4 Tl 3.81-4.14, 4 Cd 3.98-4.18
Cs 0.6752 0.2801 0.2500  4 Tl 3.81-4.14, 4 Cd 3.98-4.18
Cs 0.8783 0.6185 0.1023  4 Cd 3.89-4.29, 3 Tl 4.04-4.35, 1 Cs 4.33
Cs 0.8783 0.6185 0.3977  4 Cd 3.89-4.29, 3 Tl 4.04-4.35, 1 Cs 4.33
Cs 0.8783 0.8815 0.6023  4 Cd 3.89-4.29, 3 Tl 4.04-4.35, 1 Cs 4.33
Cs 0.8783 0.8815 0.8977  4 Cd 3.89-4.29, 3 Tl 4.04-4.35, 1 Cs 4.33
Tl 0.2068 0.0762 0.7500  2 Cd 3.10
Tl 0.2068 0.4238 0.2500  2 Cd 3.10
Tl 0.3887 0.7500 0.0000  4 Cd 3.18-3.20
Tl 0.3887 0.7500 0.5000  4 Cd 3.18-3.20
Tl 0.6113 0.2500 0.0000  4 Cd 3.18-3.20
Tl 0.6113 0.2500 0.5000  4 Cd 3.18-3.20
Tl 0.7932 0.5762 0.7500  2 Cd 3.10
Tl 0.7932 0.9238 0.2500  2 Cd 3.10
Cd 0.3991 0.0240 0.5869  3 Tl 3.10-3.20, 1 Cd 3.28
Cd 0.3991 0.0240 0.9131  3 Tl 3.10-3.20, 1 Cd 3.28
Cd 0.3991 0.4760 0.0869  3 Tl 3.10-3.20, 1 Cd 3.28
Cd 0.3991 0.4760 0.4131  3 Tl 3.10-3.20, 1 Cd 3.28
Cd 0.6009 0.5240 0.5869  3 Tl 3.10-3.20, 1 Cd 3.28
Cd 0.6009 0.5240 0.9131  3 Tl 3.10-3.20, 1 Cd 3.28
Cd 0.6009 0.9760 0.0869  3 Tl 3.10-3.20, 1 Cd 3.28
Cd 0.6009 0.9760 0.4131  3 Tl 3.10-3.20, 1 Cd 3.28

(11)
First-principles (PBE-GGA) data for a geometry-optimized GeHF2 structure, as listed in Alexandria.

Space-group type: R-3m
Offset from the most stable computed form: 0.000 eV/atom
V: 11.65 Å³/atom
Raw total energy: -4.24 eV/atom

Unit cell a=6.3534 b=6.3534 c=6.3534 alpha=26.99 beta=26.99 gamma=26.99
With the nearest neighbours (Å) after each atom.
Positions (direct):
Ge 0.0000 0.0000 0.0000  6 F 2.57
H 0.5000 0.5000 0.5000  2 F 1.15
F 0.4374 0.4374 0.4374  1 H 1.15
F 0.5626 0.5626 0.5626  1 H 1.15

(12)
First-principles (PBE-GGA) data for a geometry-optimized ZnN2F4 structure, as listed in Alexandria.

Energy relative to the elements, uncorrected: -23.17 kJ per mole of atoms
Space-group type: I4/mmm
V: 18.17 Å³/atom
Raw total energy: -3.87 eV/atom

Unit cell a=8.8854 b=8.8854 c=8.8854 alpha=154.79 beta=154.79 gamma=35.96
With the nearest neighbours (Å) after each atom.
Positions (direct):
Zn 0.0000 0.0000 0.0000  4 F 1.94
N 0.3507 0.3507 0.0000  1 F 1.34
N 0.6493 0.6493 0.0000  1 F 1.34
F 0.0000 0.5000 0.5000  2 Zn 1.94
F 0.2711 0.2711 0.0000  1 N 1.34
F 0.5000 0.0000 0.5000  2 Zn 1.94
F 0.7289 0.7289 0.0000  1 N 1.34

(13)
First-principles (PBE-GGA) data for a geometry-optimized NdSc2PaAs4 structure, as listed in Alexandria.

Space-group type: P2/m
V: 23.17 Å³/atom
Energy of formation: -1.312 eV per atom
Raw total energy: -7.00 eV/atom

Unit cell a=6.9100 b=4.0522 c=7.0301 alpha=90.00 beta=109.68 gamma=90.00
With the nearest neighbours (Å) after each atom.
Positions (direct):
Nd 0.0000 0.0000 0.0000  6 As 2.95
Sc 0.5000 0.0000 0.5000  6 As 2.75-2.76
Sc 0.5000 0.5000 0.0000  6 As 2.81-2.83
Pa 0.0000 0.5000 0.5000  6 As 2.88-2.90
As 0.2668 0.0000 0.7497  3 Sc 2.75-2.81, 2 Pa 2.90, 1 Nd 2.95
As 0.2691 0.5000 0.2646  3 Sc 2.76-2.83, 1 Pa 2.88, 2 Nd 2.95
As 0.7309 0.5000 0.7354  3 Sc 2.76-2.83, 1 Pa 2.88, 2 Nd 2.95
As 0.7332 0.0000 0.2503  3 Sc 2.75-2.81, 2 Pa 2.90, 1 Nd 2.95